[1]
## La2BiS4 (GGA-PBE)

Data for a relaxed La2BiS4 crystal.

Computed properties:
**Total magnetization**: 0.000 Bohr magnetons per cell
**E above lowest polymorph**: 0 meV per atom
**ΔE_f (raw)**: -1466.4 meV per atom
**Symmetry**: No. 12
**Uncorrected energy**: -5.79 eV/atom

abc: 14.119 4.455 7.363
angles: 90.00 118.44 90.00
Fractional coordinates of all 14 atoms:
La (0.216, 0.000, 0.210)
La (0.284, 0.500, 0.790)
La (0.716, 0.500, 0.210)
La (0.784, 0.000, 0.790)
Bi (0.000, 0.500, 0.500)
Bi (0.500, 0.000, 0.500)
S (0.124, 0.500, 0.935)
S (0.142, 0.000, 0.513)
S (0.358, 0.500, 0.487)
S (0.376, 0.000, 0.065)
S (0.624, 0.000, 0.935)
S (0.642, 0.500, 0.513)
S (0.858, 0.000, 0.487)
S (0.876, 0.500, 0.065)

=====

[2]
## La4BiSbS2 (GGA-PBE)

Data for a relaxed La4BiSbS2 crystal.

Computed properties:
**Total magnetization**: 0.000 Bohr magnetons per cell
**ΔE_f (raw)**: -1615.4 meV per atom
**Symmetry**: No. 10
**Uncorrected energy**: -6.11 eV/atom

abc: 7.648 4.420 7.648
angles: 90.00 109.49 90.00
Fractional coordinates of all 8 atoms:
La (0.224, 0.000, 0.238)
La (0.227, 0.500, 0.746)
La (0.773, 0.500, 0.254)
La (0.776, 0.000, 0.762)
Bi (0.500, 0.500, 0.500)
Sb (0.500, 0.000, 0.000)
S (0.000, 0.000, 0.500)
S (0.000, 0.500, 0.000)

=====

Number 1: volume 29.091 A^3/atom. Number 2: volume 30.469 A^3/atom.